[1]
# Nb3Pt2Rh3 (PBE, optimized geometry)
# ΔH_f (0 K): -564 meV/atom
# M_tot: 0.0 μB per formula unit
data_Nb3Pt2Rh3
_symmetry_space_group_name_H-M 'P m m m'
_symmetry_Int_Tables_number 47
_symmetry_space_group_name_Hall '-P 2 2'
_cell_length_a 3.977
_cell_length_b 3.994
_cell_length_c 7.940
_cell_angle_alpha 90.00
_cell_angle_beta 90.00
_cell_angle_gamma 90.00
loop_
_atom_site_label
_atom_site_fract_x
_atom_site_fract_y
_atom_site_fract_z
Nb1 0.000 0.000 0.000
Nb2 0.500 0.000 0.260
Pt1 0.000 0.500 0.253
Rh1 0.000 0.000 0.500
Rh2 0.500 0.500 0.000
Rh3 0.500 0.500 0.500

[2]
# YCoSe2 (PBE, optimized geometry)
# uncorrected formation energy: -0.799 eV per atom
# M_tot: 2.0 μB per formula unit
data_YCoSe2
_symmetry_space_group_name_H-M 'I m m 2'
_symmetry_Int_Tables_number 44
_symmetry_space_group_name_Hall 'I 2 -2'
_cell_length_a 3.632
_cell_length_b 3.691
_cell_length_c 12.300
_cell_angle_alpha 90.00
_cell_angle_beta 90.00
_cell_angle_gamma 90.00
loop_
_atom_site_label
_atom_site_fract_x
_atom_site_fract_y
_atom_site_fract_z
Y1 0.000 0.000 0.000
Co1 0.000 0.500 0.263
Se1 0.000 0.000 0.600
Se2 0.000 0.500 0.826

[3]
# Te4C3 (PBE, optimized geometry)
# uncorrected formation energy: 2.339 eV per atom
# M_tot: 0.0 μB per formula unit
data_Te4C3
_symmetry_space_group_name_H-M 'P 6/m m m'
_symmetry_Int_Tables_number 191
_symmetry_space_group_name_Hall '-P 6 2'
_cell_length_a 4.7114
_cell_length_b 4.7114
_cell_length_c 8.0876
_cell_angle_alpha 90.00
_cell_angle_beta 90.00
_cell_angle_gamma 120.00
loop_
_atom_site_label
_atom_site_fract_x
_atom_site_fract_y
_atom_site_fract_z
Te1 0.0000 0.0000 0.1731
Te2 0.3333 0.6667 0.5000
C1 0.0000 0.5000 0.0000

[4]
# CdInSb2 (PBE, optimized geometry)
# uncorrected formation energy: 0.149 eV per atom
# M_tot: 0.0 μB per formula unit
data_CdInSb2
_symmetry_space_group_name_H-M 'F m -3 m'
_symmetry_Int_Tables_number 225
_symmetry_space_group_name_Hall '-F 4 2 3'
_cell_length_a 7.525
_cell_length_b 7.525
_cell_length_c 7.525
_cell_angle_alpha 90.00
_cell_angle_beta 90.00
_cell_angle_gamma 90.00
loop_
_atom_site_label
_atom_site_fract_x
_atom_site_fract_y
_atom_site_fract_z
Cd1 0.000 0.000 0.000
In1 0.000 0.000 0.500
Sb1 0.250 0.250 0.250

[5]
# CaPr6Tm4 (PBE, optimized geometry)
# ΔH_f (0 K): 320 meV/atom
# M_tot: 0.0 μB per formula unit
data_CaPr6Tm4
_symmetry_space_group_name_H-M 'I -4 2 m'
_symmetry_Int_Tables_number 121
_symmetry_space_group_name_Hall 'I -4 2'
_cell_length_a 6.602
_cell_length_b 6.602
_cell_length_c 17.873
_cell_angle_alpha 90.00
_cell_angle_beta 90.00
_cell_angle_gamma 90.00
loop_
_atom_site_label
_atom_site_fract_x
_atom_site_fract_y
_atom_site_fract_z
Ca1 0.000 0.000 0.000
Pr1 0.000 0.500 0.000
Pr2 0.176 0.176 0.360
Tm1 0.182 0.182 0.174

[6]
# SmPtRh (PBE, optimized geometry)
# ΔH_f (0 K): -904 meV/atom
# M_tot: 0.0 μB per formula unit
data_SmPtRh
_symmetry_space_group_name_H-M 'I m m a'
_symmetry_Int_Tables_number 74
_symmetry_space_group_name_Hall '-I 2b 2'
_cell_length_a 5.423
_cell_length_b 5.442
_cell_length_c 7.699
_cell_angle_alpha 90.00
_cell_angle_beta 90.00
_cell_angle_gamma 90.00
loop_
_atom_site_label
_atom_site_fract_x
_atom_site_fract_y
_atom_site_fract_z
Sm1 0.000 0.250 0.126
Pt1 0.250 0.250 0.750
Rh1 0.000 0.000 0.500

[7]
# BiHO2 (PBE, optimized geometry)
# M_tot: 0.0 μB per formula unit
# DFT total energy: -5.41 eV/atom
data_BiHO2
_symmetry_space_group_name_H-M 'P 1'
_symmetry_Int_Tables_number 1
_symmetry_space_group_name_Hall 'P 1'
_cell_length_a 3.723
_cell_length_b 4.416
_cell_length_c 6.710
_cell_angle_alpha 94.80
_cell_angle_beta 92.70
_cell_angle_gamma 90.16
loop_
_atom_site_label
_atom_site_fract_x
_atom_site_fract_y
_atom_site_fract_z
Bi1 0.000 0.000 0.000
Bi2 0.474 0.457 0.622
H1 0.554 0.906 0.285
H2 0.983 0.999 0.516
O1 0.475 0.048 0.775
O2 0.506 0.776 0.160
O3 0.945 0.174 0.438
O4 0.985 0.560 0.824

[8]
# KBPb (PBE, optimized geometry)
# ΔH_f (0 K): 319 meV/atom
# M_tot: 0.0 μB per formula unit
data_KBPb
_symmetry_space_group_name_H-M 'C m m m'
_symmetry_Int_Tables_number 65
_symmetry_space_group_name_Hall '-C 2 2'
_cell_length_a 5.564
_cell_length_b 11.157
_cell_length_c 5.254
_cell_angle_alpha 90.00
_cell_angle_beta 90.00
_cell_angle_gamma 90.00
loop_
_atom_site_label
_atom_site_fract_x
_atom_site_fract_y
_atom_site_fract_z
K1 0.000 0.146 0.000
B1 0.000 0.500 0.150
Pb1 0.000 0.354 0.500